1.
Density functional theory data (GGA-PBE) for a geometry-optimized MgScReW structure.

```
4
Lattice="0.0000 3.2265 3.2265 3.2265 0.0000 3.2265 3.2265 3.2265 0.0000" Properties=species:S:1:pos:R:3 pbc="T T T"
Mg 0.0000 0.0000 0.0000
Sc 1.6132 1.6132 1.6132
Re 4.8397 4.8397 4.8397
W 3.2265 3.2265 3.2265
```

Computed properties:
Final energy in eV/atom: -8.215
E above lowest polymorph in meV/atom: 9



2.
Density functional theory data (GGA-PBE) for a geometry-optimized MgScReW structure.

```
4
Lattice="0.0000 3.2328 3.2328 3.2328 0.0000 3.2328 3.2328 3.2328 0.0000" Properties=species:S:1:pos:R:3 pbc="T T T"
Mg 0.0000 0.0000 0.0000
Sc 1.6164 1.6164 1.6164
Re 3.2328 3.2328 3.2328
W 4.8491 4.8491 4.8491
```

Computed properties:
Final energy in eV/atom: -8.224
E above lowest polymorph in meV/atom: 0



3.
Density functional theory data (GGA-PBE) for a geometry-optimized Mg6Re3Si structure.

```
10
Lattice="-3.5803 3.5803 5.1448 3.5803 -3.5803 5.1448 3.5803 3.5803 -5.1448" Properties=species:S:1:pos:R:3 pbc="T T T"
Mg 2.3602 0.0000 0.0000
Mg 4.8004 0.0000 0.0000
Mg 0.0000 0.0000 2.5444
Mg 0.0000 2.3602 0.0000
Mg 0.0000 4.8004 0.0000
Mg 0.0000 0.0000 7.7452
Re 3.5803 0.0000 2.5724
Re 0.0000 0.0000 5.1448
Re 0.0000 3.5803 2.5724
Si 0.0000 0.0000 0.0000
```

Computed properties:
Final energy in eV/atom: -3.382



4.
Density functional theory data (GGA-PBE) for a geometry-optimized MgTaReSi structure.

```
4
Lattice="0.0000 3.1290 3.1290 3.1290 0.0000 3.1290 3.1290 3.1290 0.0000" Properties=species:S:1:pos:R:3 pbc="T T T"
Mg 0.0000 0.0000 0.0000
Ta 1.5645 1.5645 1.5645
Re 3.1290 3.1290 3.1290
Si 4.6936 4.6936 4.6936
```

Computed properties:
Final energy in eV/atom: -7.887
E above lowest polymorph in meV/atom: 0



5.
Density functional theory data (GGA-PBE) for a geometry-optimized MgTaReSi structure.

```
4
Lattice="0.0000 3.1302 3.1302 3.1302 0.0000 3.1302 3.1302 3.1302 0.0000" Properties=species:S:1:pos:R:3 pbc="T T T"
Mg 0.0000 0.0000 0.0000
Ta 1.5651 1.5651 1.5651
Re 4.6952 4.6952 4.6952
Si 3.1302 3.1302 3.1302
```

Computed properties:
Final energy in eV/atom: -7.486
E above lowest polymorph in meV/atom: 402



6.
Density functional theory data (GGA-PBE) for a geometry-optimized SmMgRe structure.

```
3
Lattice="0.0000 3.4191 3.4191 3.4191 0.0000 3.4191 3.4191 3.4191 0.0000" Properties=species:S:1:pos:R:3 pbc="T T T"
Sm 0.0000 0.0000 0.0000
Mg 5.1287 5.1287 5.1287
Re 1.7096 1.7096 1.7096
```

Computed properties:
Final energy in eV/atom: -4.835



7.
Density functional theory data (GGA-PBE) for a geometry-optimized Mg2ReSn structure.

```
4
Lattice="0.0000 3.3114 3.3114 3.3114 0.0000 3.3114 3.3114 3.3114 0.0000" Properties=species:S:1:pos:R:3 pbc="T T T"
Mg 0.0000 0.0000 0.0000
Mg 1.6557 1.6557 1.6557
Re 4.9670 4.9670 4.9670
Sn 3.3114 3.3114 3.3114
```

Computed properties:
Final energy in eV/atom: -4.531



8.
Density functional theory data (GGA-PBE) for a geometry-optimized MgTaReSn structure.

```
4
Lattice="0.0000 3.2630 3.2630 3.2630 0.0000 3.2630 3.2630 3.2630 0.0000" Properties=species:S:1:pos:R:3 pbc="T T T"
Mg 0.0000 0.0000 0.0000
Ta 1.6315 1.6315 1.6315
Re 3.2630 3.2630 3.2630
Sn 4.8945 4.8945 4.8945
```

Computed properties:
Final energy in eV/atom: -7.375
E above lowest polymorph in meV/atom: 0



9.
Density functional theory data (GGA-PBE) for a geometry-optimized MgTaReSn structure.

```
4
Lattice="0.0000 3.2820 3.2820 3.2820 0.0000 3.2820 3.2820 3.2820 0.0000" Properties=species:S:1:pos:R:3 pbc="T T T"
Mg 0.0000 0.0000 0.0000
Ta 1.6410 1.6410 1.6410
Re 4.9230 4.9230 4.9230
Sn 3.2820 3.2820 3.2820
```

Computed properties:
Final energy in eV/atom: -6.890
E above lowest polymorph in meV/atom: 485



10.
Density functional theory data (GGA-PBE) for a geometry-optimized MgZrTaRe structure.

```
4
Lattice="0.0000 3.3013 3.3013 3.3013 0.0000 3.3013 3.3013 3.3013 0.0000" Properties=species:S:1:pos:R:3 pbc="T T T"
Mg 0.0000 0.0000 0.0000
Zr 4.9520 4.9520 4.9520
Ta 3.3013 3.3013 3.3013
Re 1.6507 1.6507 1.6507
```

Computed properties:
Final energy in eV/atom: -8.440
E above lowest polymorph in meV/atom: 139



11.
Density functional theory data (GGA-PBE) for a geometry-optimized MgZrTaRe structure.

```
4
Lattice="0.0000 3.3120 3.3120 3.3120 0.0000 3.3120 3.3120 3.3120 0.0000" Properties=species:S:1:pos:R:3 pbc="T T T"
Mg 0.0000 0.0000 0.0000
Zr 4.9681 4.9681 4.9681
Ta 1.6560 1.6560 1.6560
Re 3.3120 3.3120 3.3120
```

Computed properties:
Final energy in eV/atom: -8.579
E above lowest polymorph in meV/atom: 0



12.
Density functional theory data (GGA-PBE) for a geometry-optimized MgZnReTc structure.

```
4
Lattice="0.0000 3.0907 3.0907 3.0907 0.0000 3.0907 3.0907 3.0907 0.0000" Properties=species:S:1:pos:R:3 pbc="T T T"
Mg 0.0000 0.0000 0.0000
Zn 4.6360 4.6360 4.6360
Re 3.0907 3.0907 3.0907
Tc 1.5453 1.5453 1.5453
```

Computed properties:
Final energy in eV/atom: -6.321
E above lowest polymorph in meV/atom: 0



Question: What is the final energy in the eighth record?
Answer: -7.375 eV/atom